# 1
12
Lattice="4.278 -0.004 -1.199 -3.207 6.151 -3.230 -0.179 -0.938 7.593" Properties=species:S:1:pos:R:3 comment="PBE-GGA Mg5ZnCu6, relaxed" ef_ev_per_atom=-0.097 space_group=Immm e_tot_ev_per_cell=-35.0 density_g_cm3=5.19 pbc="T T T"
Cu 1.162 2.858 4.138
Cu 2.340 1.174 0.114
Cu -0.271 2.352 -0.975
Cu 0.201 5.110 0.700
Cu -1.449 4.036 3.049
Cu 0.691 0.100 2.463
Zn 0.000 0.000 0.000
Mg -0.537 4.906 -1.932
Mg -2.190 3.770 0.405
Mg 1.428 0.304 5.095
Mg -1.197 1.444 3.957
Mg 0.446 2.605 1.582

# 2
16
Lattice="8.039 0.000 0.000 0.000 8.329 0.198 -4.020 -4.015 5.688" Properties=species:S:1:pos:R:3 comment="PBE-GGA Tm8Te4P3H, relaxed" space_group=R-3m e_tot_ev_per_cell=-88.0 density_g_cm3=8.39 pbc="T T T"
Tm 4.020 3.988 2.815
Tm 0.000 0.326 3.071
Tm 0.000 4.001 2.836
Tm 2.017 2.313 0.217
Tm 6.022 2.313 0.217
Tm 2.002 2.001 5.668
Tm 4.020 0.313 3.050
Tm -2.002 2.001 5.668
Te 0.000 0.000 0.000
Te 2.010 -2.008 2.844
Te 4.020 0.000 0.000
Te -2.010 -2.008 2.844
P 4.020 4.164 0.099
P -2.010 2.157 2.943
P 2.010 2.157 2.943
H 0.000 4.164 0.099

# 3
4
Lattice="-0.523 -2.444 -2.207 2.542 -1.198 -1.794 2.655 -8.665 6.448" Properties=species:S:1:pos:R:3 comment="PBE-GGA Er2TlV, relaxed" ef_ev_per_atom=0.525 space_group=R-3m e_tot_ev_per_cell=-18.5 density_g_cm3=9.29 pbc="T T T"
Er 2.146 -6.754 4.453
Er 2.527 -5.552 -2.005
V 0.000 0.000 0.000
Tl 2.337 -6.153 1.224